LiCrSe3: optimized geometry, GGA-PBE.

a = 6.407 Å, b = 6.407 Å, c = 6.407 Å
α = 62.84°, β = 62.84°, γ = 62.84°
Atoms (fractional coordinates):
1 Li 0.250 0.250 0.250
2 Li 0.750 0.750 0.750
3 Cr 0.000 0.000 0.000
4 Cr 0.500 0.500 0.500
5 Se 0.118 0.750 0.382
6 Se 0.250 0.618 0.882
7 Se 0.382 0.118 0.750
8 Se 0.618 0.882 0.250
9 Se 0.750 0.382 0.118
10 Se 0.882 0.250 0.618

Properties
D(E_F) in states/eV per atom: 0.50
Total magnetization in μB per formula unit: 1.4
Energy relative to the elements, uncorrected in eV per atom: -0.462